No. 1
The following is a DFT calculation (GGA-PBE) of SiGe3Rh after structural relaxation.

Values from the calculation:
The calculation puts the relative energy among the computed polymorphs at 0 meV per atom. As for the space group: Pm-3m. The value obtained for the formation energy without anion corrections is 219.3 kJ/mol of formula units. The crystal system is cubic.

a b c (Å): 4.773 4.773 4.773
angles (deg): 90.00 90.00 90.00
Atoms (fractional coordinates):
Ge (0.000, 0.000, 0.500)
Ge (0.500, 0.000, 0.000)
Ge (0.000, 0.500, 0.000)
Rh (0.000, 0.000, 0.000)
Si (0.500, 0.500, 0.500)

=====

No. 2
The following is a DFT calculation (GGA-PBE) of SiGeRh after structural relaxation.

Values from the calculation:
The calculation puts the relative energy among the computed polymorphs at 48 meV per atom. As for the space group: P2_1/c. The value obtained for the formation energy without anion corrections is -107.3 kJ/mol of formula units. The crystal system is monoclinic.

a b c (Å): 6.094 6.487 5.060
angles (deg): 111.53 90.00 90.00
Atoms (fractional coordinates):
Rh (0.404, 0.712, 0.120)
Rh (0.596, 0.288, 0.880)
Rh (0.096, 0.712, 0.620)
Rh (0.904, 0.288, 0.380)
Si (0.748, 0.611, 0.798)
Si (0.752, 0.611, 0.298)
Si (0.248, 0.389, 0.702)
Si (0.252, 0.389, 0.202)
Ge (0.022, 0.875, 0.192)
Ge (0.478, 0.875, 0.692)
Ge (0.522, 0.125, 0.308)
Ge (0.978, 0.125, 0.808)

=====

No. 3
The following is a DFT calculation (GGA-PBE) of SiGeRh after structural relaxation.

Values from the calculation:
The calculation puts the relative energy among the computed polymorphs at 75 meV per atom. As for the space group: Cc. The value obtained for the formation energy without anion corrections is -99.5 kJ/mol of formula units. The crystal system is monoclinic.

a b c (Å): 6.227 6.116 6.388
angles (deg): 90.00 126.57 90.00
Atoms (fractional coordinates):
Ge (0.910, 0.664, 0.432)
Ge (0.410, 0.336, 0.932)
Ge (0.410, 0.836, 0.432)
Ge (0.910, 0.164, 0.932)
Rh (0.232, 0.965, 0.685)
Rh (0.732, 0.535, 0.685)
Rh (0.232, 0.465, 0.185)
Rh (0.732, 0.035, 0.185)
Si (0.073, 0.303, 0.412)
Si (0.573, 0.697, 0.912)
Si (0.073, 0.803, 0.912)
Si (0.573, 0.197, 0.412)

=====

No. 4
The following is a DFT calculation (GGA-PBE) of Si2GeRh8 after structural relaxation.

Values from the calculation:
As for the space group: Immm. The value obtained for the formation energy without anion corrections is -420.9 kJ/mol of formula units. The crystal system is orthorhombic.

a b c (Å): 3.955 6.703 7.031
angles (deg): 118.47 106.33 90.00
Atoms (fractional coordinates):
Rh (0.336, 0.119, 0.673)
Rh (0.336, 0.554, 0.673)
Rh (0.859, 0.859, 0.718)
Rh (0.000, 0.688, 0.000)
Rh (0.664, 0.446, 0.327)
Rh (0.000, 0.312, 0.000)
Rh (0.664, 0.881, 0.327)
Rh (0.141, 0.141, 0.282)
Si (0.806, 0.306, 0.612)
Si (0.194, 0.694, 0.388)
Ge (0.500, 0.000, 0.000)

=====

No. 5
The following is a DFT calculation (GGA-PBE) of SiGe2Rh after structural relaxation.

Values from the calculation:
As for the space group: I-42d. The value obtained for the formation energy without anion corrections is 52.4 kJ/mol of formula units. The crystal system is tetragonal.

a b c (Å): 5.684 5.684 6.698
angles (deg): 64.89 64.89 90.00
Atoms (fractional coordinates):
Si (0.500, 0.500, 0.000)
Si (0.250, 0.750, 0.500)
Ge (0.875, 0.880, 0.750)
Ge (0.630, 0.125, 0.250)
Ge (0.375, 0.370, 0.750)
Ge (0.120, 0.625, 0.250)
Rh (0.750, 0.250, 0.500)
Rh (0.000, 0.000, 0.000)

=====

No. 6
The following is a DFT calculation (GGA-PBE) of SiGe3Rh after structural relaxation.

Values from the calculation:
The calculation puts the relative energy among the computed polymorphs at 406 meV per atom. As for the space group: Pm-3m. The value obtained for the formation energy without anion corrections is 415.2 kJ/mol of formula units. The crystal system is cubic.

a b c (Å): 4.656 4.656 4.656
angles (deg): 90.00 90.00 90.00
Atoms (fractional coordinates):
Ge (0.000, 0.500, 0.000)
Ge (0.500, 0.000, 0.000)
Ge (0.000, 0.000, 0.500)
Rh (0.500, 0.500, 0.500)
Si (0.000, 0.000, 0.000)

=====

No. 7
The following is a DFT calculation (GGA-PBE) of SiGeRh after structural relaxation.

Values from the calculation:
The calculation puts the relative energy among the computed polymorphs at 15 meV per atom. As for the space group: P-1. The value obtained for the formation energy without anion corrections is -116.8 kJ/mol of formula units. The crystal system is triclinic.

a b c (Å): 4.269 4.591 5.880
angles (deg): 73.91 76.94 67.63
Atoms (fractional coordinates):
Rh (0.284, 0.801, 0.834)
Rh (0.716, 0.199, 0.166)
Si (0.260, 0.262, 0.960)
Si (0.740, 0.738, 0.040)
Ge (0.850, 0.774, 0.550)
Ge (0.150, 0.226, 0.450)

=====

No. 8
The following is a DFT calculation (GGA-PBE) of SiGeRh after structural relaxation.

Values from the calculation:
The calculation puts the relative energy among the computed polymorphs at 76 meV per atom. As for the space group: P-1. The value obtained for the formation energy without anion corrections is -99.1 kJ/mol of formula units. The crystal system is triclinic.

a b c (Å): 4.308 4.527 5.688
angles (deg): 70.20 70.03 87.97
Atoms (fractional coordinates):
Si (0.577, 0.729, 0.070)
Si (0.423, 0.271, 0.930)
Rh (0.970, 0.541, 0.753)
Rh (0.030, 0.459, 0.247)
Ge (0.230, 0.102, 0.592)
Ge (0.770, 0.898, 0.408)